## ZnIn (PBE-GGA)

Data for crystalline ZnIn at its relaxed geometry.

Unit cell a=7.729 b=7.729 c=7.729 alpha=90.00 beta=90.00 gamma=90.00
Positions (direct):
Zn 0.250 0.500 0.000
Zn 0.750 0.500 0.000
Zn 0.500 0.000 0.250
Zn 0.500 0.000 0.750
Zn 0.000 0.250 0.500
Zn 0.000 0.750 0.500
In 0.250 0.000 0.500
In 0.750 0.000 0.500
In 0.000 0.500 0.250
In 0.000 0.500 0.750
In 0.500 0.250 0.000
In 0.500 0.750 0.000

Properties
The raw total energy is -1.53 eV/atom. The volume is 461.7 Å³ per cell. Its space-group type is Pm-3n, No. 223. For the formation energy from the elements, the calculation gives 477.6 meV per atom.